(1)
# CsHf2Cu

CsHf2Cu after structural relaxation (GGA-PBE, Alexandria via LeMat-Bulk).

Structure (POSCAR):
```
CsHf2Cu
1.0
0.0000 3.5117 3.5117
3.5117 0.0000 3.5117
3.5117 3.5117 0.0000
Cu Cs Hf
1 1 2
Direct
0.0000 0.0000 0.0000 Cu
0.5000 0.5000 0.5000 Cs
0.7500 0.7500 0.7500 Hf
0.2500 0.2500 0.2500 Hf
```

Summary:
raw total energy = -5.007 eV/atom
space-group type = Fm-3m (225)
ΔE_f = 1.207 eV per atom
V = 86.6 Å³/cell

(2)
# La5NdPb3

La5NdPb3 after structural relaxation (GGA-PBE, Alexandria via LeMat-Bulk).

Structure (POSCAR):
```
La5NdPb3
1.0
-2.1166 4.9377 4.4034
-8.9839 -0.0523 -4.2596
1.8983 -6.0302 7.6743
Pb La Nd
6 10 2
Direct
0.2500 0.3330 0.0000 Pb
0.2500 0.6670 0.6670 Pb
0.7500 0.6670 0.0000 Pb
0.7500 0.3330 0.3330 Pb
0.2500 0.0000 0.3330 Pb
0.7500 0.0000 0.6670 Pb
0.0000 0.6667 0.3333 La
0.0000 0.3333 0.6667 La
0.2500 0.3325 0.3325 La
0.7500 0.0000 0.3325 La
0.2500 0.6675 0.0000 La
0.5000 0.6667 0.3333 La
0.7500 0.6675 0.6675 La
0.7500 0.3325 0.0000 La
0.5000 0.3333 0.6667 La
0.2500 0.0000 0.6675 La
0.5000 0.0000 0.0000 Nd
0.0000 0.0000 0.0000 Nd
```

Summary:
raw total energy = -4.972 eV/atom
space-group type = P6_3/mcm (193)
ΔE_f = -0.468 eV per atom
V = 594.7 Å³/cell

(3)
# CeEr2Th3

CeEr2Th3 after structural relaxation (GGA-PBE, Alexandria via LeMat-Bulk).

Structure (POSCAR):
```
CeEr2Th3
1.0
6.7024 0.0328 0.0572
0.0000 9.6702 -5.5390
-0.2915 -2.3138 7.1713
Ce Th Er
2 6 4
Direct
0.7500 0.7747 0.0000 Ce
0.2500 0.2253 0.0000 Ce
0.0235 0.8369 0.6748 Th
0.4765 0.1621 0.3252 Th
0.9765 0.1631 0.3252 Th
0.0000 0.5000 0.0000 Th
0.5235 0.8379 0.6748 Th
0.5000 0.5000 0.0000 Th
0.7483 0.4369 0.3350 Er
0.2517 0.5631 0.6650 Er
0.7517 0.1019 0.6650 Er
0.2483 0.8981 0.3350 Er
```

Summary:
raw total energy = -6.018 eV/atom
space-group type = C2/c (15)
ΔE_f = 0.201 eV per atom
V = 379.1 Å³/cell